Li2SnAu6: optimized geometry, GGA-PBE.

Crystal system   monoclinic
Density of states at the Fermi level   5.24 states/eV/cell
Formation energy   -2.9 eV/f.u.
Volume   17.73 Å³/atom

a = 8.9930 Å, b = 4.2568 Å, c = 8.6324 Å
α = 90.00°, β = 104.98°, γ = 90.00°
Space group C2/m (No. 12)
Inequivalent atoms, fractional coordinates:
1 Li 0.1842 0.0000 0.2410 [4 per cell]
2 Sn 0.0000 0.5000 0.0000 [2 per cell]
3 Au 0.0077 0.5000 0.3314 [4 per cell]
4 Au 0.1626 0.0000 0.8900 [4 per cell]
5 Au 0.1647 0.0000 0.5547 [4 per cell]